No. 1
First-principles (GGA-PBE) data for a geometry-optimized AuN structure, as listed in OQMD.

The excess energy over the best structure of this formula in the dataset is 9.4 kJ per mole of atoms.

a b c (Å): 4.6501 4.6501 4.6501
angles (deg): 90.00 90.00 90.00
Element x y z (fractional)
1 Au 0.0000 0.0000 0.0000
2 Au 0.0000 0.5000 0.5000
3 Au 0.5000 0.0000 0.5000
4 Au 0.5000 0.5000 0.0000
5 N 0.0000 0.0000 0.5000
6 N 0.0000 0.5000 0.0000
7 N 0.5000 0.0000 0.0000
8 N 0.5000 0.5000 0.5000

---

No. 2
First-principles (GGA-PBE) data for a geometry-optimized ErFeIr structure, as listed in OQMD.

The value obtained for the formation energy is 1.89 eV/f.u.

a b c (Å): 6.2878 6.2878 6.2878
angles (deg): 90.00 90.00 90.00
Element x y z (fractional)
1 Er 0.0000 0.0000 0.0000
2 Er 0.0000 0.5000 0.5000
3 Er 0.5000 0.0000 0.5000
4 Er 0.5000 0.5000 0.0000
5 Fe 0.2500 0.2500 0.7500
6 Fe 0.2500 0.7500 0.2500
7 Fe 0.7500 0.2500 0.2500
8 Fe 0.7500 0.7500 0.7500
9 Ir 0.2500 0.2500 0.2500
10 Ir 0.2500 0.7500 0.7500
11 Ir 0.7500 0.2500 0.7500
12 Ir 0.7500 0.7500 0.2500

---

No. 3
First-principles (GGA-PBE) data for a geometry-optimized ZrInFeHg structure, as listed in OQMD.

The excess energy over the best structure of this formula in the dataset is 5.5 kJ per mole of atoms.

a b c (Å): 6.6705 6.6705 6.6705
angles (deg): 90.00 90.00 90.00
Element x y z (fractional)
1 Zr 0.0000 0.0000 0.0000
2 Zr 0.0000 0.5000 0.5000
3 Zr 0.5000 0.0000 0.5000
4 Zr 0.5000 0.5000 0.0000
5 In 0.2500 0.2500 0.2500
6 In 0.2500 0.7500 0.7500
7 In 0.7500 0.2500 0.7500
8 In 0.7500 0.7500 0.2500
9 Fe 0.0000 0.0000 0.5000
10 Fe 0.0000 0.5000 0.0000
11 Fe 0.5000 0.0000 0.0000
12 Fe 0.5000 0.5000 0.5000
13 Hg 0.2500 0.2500 0.7500
14 Hg 0.2500 0.7500 0.2500
15 Hg 0.7500 0.2500 0.2500
16 Hg 0.7500 0.7500 0.7500

---

No. 4
First-principles (GGA-PBE) data for a geometry-optimized ScZnFeHg structure, as listed in OQMD.

The excess energy over the best structure of this formula in the dataset is 5.9 kJ per mole of atoms. The value obtained for the formation energy is 0.17 eV/f.u.

a b c (Å): 6.5070 6.5070 6.5070
angles (deg): 90.00 90.00 90.00
Element x y z (fractional)
1 Sc 0.0000 0.0000 0.0000
2 Sc 0.0000 0.5000 0.5000
3 Sc 0.5000 0.0000 0.5000
4 Sc 0.5000 0.5000 0.0000
5 Zn 0.0000 0.0000 0.5000
6 Zn 0.0000 0.5000 0.0000
7 Zn 0.5000 0.0000 0.0000
8 Zn 0.5000 0.5000 0.5000
9 Fe 0.2500 0.2500 0.7500
10 Fe 0.2500 0.7500 0.2500
11 Fe 0.7500 0.2500 0.2500
12 Fe 0.7500 0.7500 0.7500
13 Hg 0.2500 0.2500 0.2500
14 Hg 0.2500 0.7500 0.7500
15 Hg 0.7500 0.2500 0.7500
16 Hg 0.7500 0.7500 0.2500

---

No. 5
First-principles (GGA-PBE) data for a geometry-optimized GdDy2TmIr4 structure, as listed in OQMD.

The value obtained for the formation energy is -6.58 eV/f.u.

a b c (Å): 4.8277 4.8277 6.8433
angles (deg): 90.00 90.00 90.00
Element x y z (fractional)
1 Gd 0.0000 0.0000 0.0000
2 Dy 0.0000 0.0000 0.5000
3 Dy 0.5000 0.5000 0.0000
4 Tm 0.5000 0.5000 0.5000
5 Ir 0.0000 0.5000 0.2539
6 Ir 0.0000 0.5000 0.7461
7 Ir 0.5000 0.0000 0.2539
8 Ir 0.5000 0.0000 0.7461

---

No. 6
First-principles (GGA-PBE) data for a geometry-optimized TaZnW3 structure, as listed in OQMD.

The value obtained for the formation energy is 3.25 eV/f.u.

a b c (Å): 12.8485 12.8485 3.0150
angles (deg): 90.00 90.00 160.51
Element x y z (fractional)
1 Ta 0.1639 0.8361 0.0000
2 Ta 0.8361 0.1639 0.0000
3 Zn 0.3712 0.6288 0.5000
4 Zn 0.6288 0.3712 0.5000
5 W 0.0546 0.9454 0.5000
6 W 0.2731 0.7269 0.5000
7 W 0.4516 0.5484 0.0000
8 W 0.5484 0.4516 0.0000
9 W 0.7269 0.2731 0.5000
10 W 0.9454 0.0546 0.5000

---

No. 7
First-principles (GGA-PBE) data for a geometry-optimized GdTaAs structure, as listed in OQMD.

As for the uncorrected energy: -7.125 eV/atom.

a b c (Å): 6.4786 6.4786 6.4786
angles (deg): 90.00 90.00 90.00
Element x y z (fractional)
1 Gd 0.0000 0.0000 0.0000
2 Gd 0.0000 0.5000 0.5000
3 Gd 0.5000 0.0000 0.5000
4 Gd 0.5000 0.5000 0.0000
5 Ta 0.0000 0.0000 0.5000
6 Ta 0.0000 0.5000 0.0000
7 Ta 0.5000 0.0000 0.0000
8 Ta 0.5000 0.5000 0.5000
9 As 0.2500 0.2500 0.2500
10 As 0.2500 0.7500 0.7500
11 As 0.7500 0.2500 0.7500
12 As 0.7500 0.7500 0.2500

---

No. 8
First-principles (GGA-PBE) data for a geometry-optimized ErHfCSe structure, as listed in OQMD.

The excess energy over the best structure of this formula in the dataset is 0.0 kJ per mole of atoms.

a b c (Å): 3.5426 3.5426 12.8955
angles (deg): 90.00 90.00 120.00
Element x y z (fractional)
1 Er 0.3333 0.6667 0.0000
2 Er 0.6667 0.3333 0.5000
3 Hf 0.3333 0.6667 0.6952
4 Hf 0.6667 0.3333 0.1952
5 C 0.0000 0.0000 0.1096
6 C 0.0000 0.0000 0.6096
7 Se 0.3333 0.6667 0.3406
8 Se 0.6667 0.3333 0.8406

---

No. 9
First-principles (GGA-PBE) data for a geometry-optimized LuZrIn2 structure, as listed in OQMD.

As for the uncorrected energy: -4.481 eV/atom.

a b c (Å): 7.2779 7.2779 7.2779
angles (deg): 90.00 90.00 90.00
Element x y z (fractional)
1 Lu 0.0000 0.0000 0.0000
2 Lu 0.0000 0.5000 0.5000
3 Lu 0.5000 0.0000 0.5000
4 Lu 0.5000 0.5000 0.0000
5 Zr 0.2500 0.2500 0.2500
6 Zr 0.2500 0.7500 0.7500
7 Zr 0.7500 0.2500 0.7500
8 Zr 0.7500 0.7500 0.2500
9 In 0.0000 0.0000 0.5000
10 In 0.0000 0.5000 0.0000
11 In 0.2500 0.2500 0.7500
12 In 0.2500 0.7500 0.2500
13 In 0.5000 0.0000 0.0000
14 In 0.5000 0.5000 0.5000
15 In 0.7500 0.2500 0.2500
16 In 0.7500 0.7500 0.7500

---

No. 10
First-principles (GGA-PBE) data for a geometry-optimized Pr4SnI5 structure, as listed in OQMD.

As for the uncorrected energy: -4.273 eV/atom.

a b c (Å): 10.1656 10.1656 9.3148
angles (deg): 101.77 101.77 25.27
Element x y z (fractional)
1 Pr 0.0011 0.0011 0.2281
2 Pr 0.3441 0.3441 0.9271
3 Pr 0.6559 0.6559 0.0729
4 Pr 0.9989 0.9989 0.7719
5 Sn 0.5000 0.5000 0.0000
6 I 0.1678 0.1678 0.3289
7 I 0.1701 0.1701 0.8227
8 I 0.5000 0.5000 0.5000
9 I 0.8299 0.8299 0.1773
10 I 0.8322 0.8322 0.6711

---

No. 11
First-principles (GGA-PBE) data for a geometry-optimized Pm3SnN structure, as listed in OQMD.

As for the uncorrected energy: -6.305 eV/atom.

a b c (Å): 4.9560 4.9560 4.9560
angles (deg): 90.00 90.00 90.00
Element x y z (fractional)
1 Pm 0.0000 0.0000 0.5000
2 Pm 0.0000 0.5000 0.0000
3 Pm 0.5000 0.0000 0.0000
4 Sn 0.5000 0.5000 0.5000
5 N 0.0000 0.0000 0.0000

---

No. 12
First-principles (GGA-PBE) data for a geometry-optimized Pr2PIr8 structure, as listed in OQMD.

As for the uncorrected energy: -8.260 eV/atom.

a b c (Å): 4.2428 9.1202 9.1202
angles (deg): 146.05 90.00 90.00
Element x y z (fractional)
1 Pr 0.0000 0.1175 0.8825
2 Pr 0.0000 0.8825 0.1175
3 P 0.5000 0.2601 0.2601
4 Ir 0.0000 0.3016 0.7071
5 Ir 0.0000 0.4891 0.4891
6 Ir 0.0000 0.7071 0.3016
7 Ir 0.5000 0.0027 0.4972
8 Ir 0.5000 0.3822 0.6096
9 Ir 0.5000 0.4972 0.0027
10 Ir 0.5000 0.6096 0.3822
11 Ir 0.5000 0.8364 0.8364